The following is a DFT calculation (PBE) of a relaxed InAs2Ir crystal.

Unit cell a=4.779 b=4.779 c=3.208 alpha=90.00 beta=90.00 gamma=90.00
Element x y z (fractional)
As 0.000 0.000 0.000
As 0.500 0.500 0.000
Ir 0.000 0.500 0.500
In 0.500 0.000 0.500

Results
**E_form**: 435 meV per atom



The following is a DFT calculation (PBE) of a relaxed InAsIr2 crystal.

Unit cell a=10.107 b=10.107 c=10.107 alpha=16.77 beta=16.77 gamma=16.77
Element x y z (fractional)
As 0.522 0.522 0.522
Ir 0.992 0.992 0.992
Ir 0.250 0.250 0.250
In 0.735 0.735 0.735

Results
**E_form**: 229 meV per atom
**Relative energy among the computed polymorphs**: 65 kJ/mol of formula units



The following is a DFT calculation (PBE) of a relaxed InAsIr2 crystal.

Unit cell a=8.563 b=8.563 c=8.563 alpha=20.26 beta=20.26 gamma=20.26
Element x y z (fractional)
As 0.250 0.250 0.250
Ir 0.993 0.993 0.993
Ir 0.507 0.507 0.507
In 0.750 0.750 0.750

Results
**E_form**: 67 meV per atom
**Relative energy among the computed polymorphs**: 2 kJ/mol of formula units



The following is a DFT calculation (PBE) of a relaxed In2AsIr crystal.

Unit cell a=3.242 b=5.661 c=5.673 alpha=49.76 beta=90.00 gamma=90.00
Element x y z (fractional)
As 0.000 0.000 0.500
Ir 0.500 0.500 0.500
In 0.000 0.000 0.000
In 0.500 0.500 0.000

Results
**E_form**: 251 meV per atom



The following is a DFT calculation (PBE) of a relaxed InAsIr2 crystal.

Unit cell a=2.986 b=2.986 c=8.789 alpha=90.00 beta=90.00 gamma=119.83
Element x y z (fractional)
As 0.500 0.500 0.250
Ir 0.000 0.000 0.012
Ir 0.000 0.000 0.488
In 0.500 0.500 0.750

Results
**E_form**: 321 meV per atom
**Relative energy among the computed polymorphs**: 100 kJ/mol of formula units



The following is a DFT calculation (PBE) of a relaxed InAs2Ir crystal.

Unit cell a=4.716 b=4.716 c=6.404 alpha=71.79 beta=71.79 gamma=37.81
Element x y z (fractional)
As 0.938 0.938 0.077
As 0.783 0.783 0.771
Ir 0.202 0.202 0.131
In 0.576 0.576 0.520

Results
**E_form**: 47 meV per atom



The following is a DFT calculation (PBE) of a relaxed InAs4Ir crystal.

Unit cell a=5.523 b=5.523 c=5.523 alpha=60.00 beta=60.00 gamma=60.00
Element x y z (fractional)
In 0.750 0.750 0.750
As 0.868 0.377 0.377
As 0.377 0.377 0.868
As 0.377 0.868 0.377
As 0.377 0.377 0.377
Ir 0.000 0.000 0.000

Results
**E_form**: 730 meV per atom



The following is a DFT calculation (PBE) of a relaxed InAsIr crystal.

Unit cell a=6.716 b=6.716 c=3.035 alpha=76.95 beta=76.94 gamma=26.11
Element x y z (fractional)
As 0.036 0.036 0.964
Ir 0.647 0.647 0.353
In 0.317 0.317 0.683

Results
**E_form**: 18 meV per atom



The following is a DFT calculation (PBE) of a relaxed InAs2Ir crystal.

Unit cell a=4.010 b=4.831 c=5.026 alpha=64.36 beta=90.00 gamma=90.00
Element x y z (fractional)
As 0.000 0.958 0.894
As 0.000 0.542 0.606
Ir 0.500 0.750 0.750
In 0.500 0.250 0.250

Results
**E_form**: -112 meV per atom



The following is a DFT calculation (PBE) of a relaxed In2AsIr2 crystal.

Unit cell a=7.921 b=7.921 c=2.995 alpha=90.00 beta=90.00 gamma=90.00
Element x y z (fractional)
As 0.000 0.000 0.000
As 0.500 0.500 0.000
Ir 0.154 0.654 0.500
Ir 0.654 0.846 0.500
Ir 0.846 0.346 0.500
Ir 0.346 0.154 0.500
In 0.357 0.857 0.000
In 0.857 0.643 0.000
In 0.643 0.143 0.000
In 0.143 0.357 0.000

Results
**E_form**: 247 meV per atom
**Relative energy among the computed polymorphs**: 77 kJ/mol of formula units



The following is a DFT calculation (PBE) of a relaxed InAs2Ir crystal.

Unit cell a=3.169 b=4.656 c=5.966 alpha=56.61 beta=90.00 gamma=90.00
Element x y z (fractional)
As 0.000 0.000 0.000
As 0.500 0.500 0.000
Ir 0.000 0.000 0.500
In 0.500 0.500 0.500

Results
**E_form**: 316 meV per atom



The following is a DFT calculation (PBE) of a relaxed InAs2Ir crystal.

Unit cell a=6.654 b=4.638 c=3.637 alpha=90.65 beta=55.79 gamma=119.79
Element x y z (fractional)
As 0.000 0.000 0.000
As 0.500 0.000 0.500
Ir 0.500 0.500 0.000
In 0.000 0.500 0.500

Results
**E_form**: 329 meV per atom



Number 1: total energy -19.16 eV per cell. Number 2: total energy -24.20 eV per cell. Number 3: total energy -24.84 eV per cell. Number 4: total energy -17.98 eV per cell. Number 5: total energy -23.82 eV per cell. Number 6: total energy -20.71 eV per cell. Number 7: total energy -25.82 eV per cell. Number 8: total energy -16.20 eV per cell. Number 9: total energy -21.35 eV per cell. Number 10: total energy -53.23 eV per cell. Number 11: total energy -19.64 eV per cell. Number 12: total energy -19.58 eV per cell.